A plane-wave DFT calculation with PBE-GGA was carried out for a geometry-optimized SbTeRuI2 structure.

a = 5.9503 Å, b = 5.9503 Å, c = 5.8101 Å
α = 90.00°, β = 90.00°, γ = 90.00°
Space group P4/mmm (No. 123)
Inequivalent atoms, fractional coordinates:
Sb: 0.0000 0.0000 0.0000 (multiplicity 1)
Te: 0.0000 0.0000 0.5000 (multiplicity 1)
Ru: 0.5000 0.5000 0.5000 (multiplicity 1)
I: 0.0000 0.5000 0.0000 (multiplicity 2)

Computed properties:
The calculation puts the energy above the most stable polymorph in this dataset at 320 kJ/mol of formula units. Its formation energy (no corrections) is 1.1192 eV/atom. The value obtained for the magnetization is 3.27 μB/f.u.

---

A plane-wave DFT calculation with PBE-GGA was carried out for a geometry-optimized TlSb2RuI structure.

a = 5.0854 Å, b = 5.0854 Å, c = 6.0935 Å
α = 90.00°, β = 90.00°, γ = 90.00°
Space group P4/mmm (No. 123)
Inequivalent atoms, fractional coordinates:
Tl: 0.0000 0.0000 0.0000 (multiplicity 1)
Sb: 0.0000 0.5000 0.5000 (multiplicity 2)
Ru: 0.5000 0.5000 0.5000 (multiplicity 1)
I: 0.5000 0.5000 0.0000 (multiplicity 1)

Computed properties:
The calculation puts the energy above the most stable polymorph in this dataset at 0 kJ/mol of formula units. Its formation energy (no corrections) is 0.2179 eV/atom. The value obtained for the magnetization is 0.00 μB/f.u.

---

A plane-wave DFT calculation with PBE-GGA was carried out for a geometry-optimized SbRuWI2 structure.

a = 5.3805 Å, b = 5.3805 Å, c = 5.0425 Å
α = 90.00°, β = 90.00°, γ = 90.00°
Space group P4/mmm (No. 123)
Inequivalent atoms, fractional coordinates:
Sb: 0.0000 0.0000 0.0000 (multiplicity 1)
Ru: 0.0000 0.0000 0.5000 (multiplicity 1)
W: 0.5000 0.5000 0.0000 (multiplicity 1)
I: 0.0000 0.5000 0.5000 (multiplicity 2)

Computed properties:
The calculation puts the energy above the most stable polymorph in this dataset at 0 kJ/mol of formula units. Its formation energy (no corrections) is 1.5375 eV/atom. The value obtained for the magnetization is 4.09 μB/f.u.

---

A plane-wave DFT calculation with PBE-GGA was carried out for a geometry-optimized YSbRuI2 structure.

a = 5.3273 Å, b = 5.3273 Å, c = 5.2269 Å
α = 90.00°, β = 90.00°, γ = 90.00°
Space group P4/mmm (No. 123)
Inequivalent atoms, fractional coordinates:
Y: 0.0000 0.0000 0.0000 (multiplicity 1)
Sb: 0.5000 0.5000 0.0000 (multiplicity 1)
Ru: 0.5000 0.5000 0.5000 (multiplicity 1)
I: 0.0000 0.5000 0.5000 (multiplicity 2)

Computed properties:
The calculation puts the energy above the most stable polymorph in this dataset at 0 kJ/mol of formula units. Its formation energy (no corrections) is 0.1691 eV/atom. The value obtained for the magnetization is 0.00 μB/f.u.

---

A plane-wave DFT calculation with PBE-GGA was carried out for a geometry-optimized YSbRuI2 structure.

a = 5.8202 Å, b = 5.8202 Å, c = 6.1385 Å
α = 90.00°, β = 90.00°, γ = 90.00°
Space group P4/mmm (No. 123)
Inequivalent atoms, fractional coordinates:
Y: 0.0000 0.0000 0.0000 (multiplicity 1)
Sb: 0.0000 0.0000 0.5000 (multiplicity 1)
Ru: 0.5000 0.5000 0.5000 (multiplicity 1)
I: 0.0000 0.5000 0.0000 (multiplicity 2)

Computed properties:
The calculation puts the energy above the most stable polymorph in this dataset at 249 kJ/mol of formula units. Its formation energy (no corrections) is 0.6847 eV/atom. The value obtained for the magnetization is 2.94 μB/f.u.

---

A plane-wave DFT calculation with PBE-GGA was carried out for a geometry-optimized YSb2RuI structure.

a = 5.1096 Å, b = 5.1096 Å, c = 5.5258 Å
α = 90.00°, β = 90.00°, γ = 90.00°
Space group P4/mmm (No. 123)
Inequivalent atoms, fractional coordinates:
Y: 0.0000 0.0000 0.0000 (multiplicity 1)
Sb: 0.0000 0.5000 0.5000 (multiplicity 2)
Ru: 0.5000 0.5000 0.5000 (multiplicity 1)
I: 0.5000 0.5000 0.0000 (multiplicity 1)

Computed properties:
The calculation puts the energy above the most stable polymorph in this dataset at 0 kJ/mol of formula units. Its formation energy (no corrections) is 0.1434 eV/atom. The value obtained for the magnetization is 0.00 μB/f.u.

---

A plane-wave DFT calculation with PBE-GGA was carried out for a geometry-optimized YSb2RuI structure.

a = 5.8358 Å, b = 5.8358 Å, c = 5.7801 Å
α = 90.00°, β = 90.00°, γ = 90.00°
Space group P4/mmm (No. 123)
Inequivalent atoms, fractional coordinates:
Y: 0.0000 0.0000 0.0000 (multiplicity 1)
Sb: 0.0000 0.5000 0.0000 (multiplicity 2)
Ru: 0.5000 0.5000 0.5000 (multiplicity 1)
I: 0.0000 0.0000 0.5000 (multiplicity 1)

Computed properties:
The calculation puts the energy above the most stable polymorph in this dataset at 410 kJ/mol of formula units. Its formation energy (no corrections) is 0.9935 eV/atom. The value obtained for the magnetization is 2.83 μB/f.u.

---

A plane-wave DFT calculation with PBE-GGA was carried out for a geometry-optimized ZnSbRuI2 structure.

a = 5.5737 Å, b = 5.5737 Å, c = 5.0182 Å
α = 90.00°, β = 90.00°, γ = 90.00°
Space group P4/mmm (No. 123)
Inequivalent atoms, fractional coordinates:
Zn: 0.0000 0.0000 0.0000 (multiplicity 1)
Sb: 0.5000 0.5000 0.0000 (multiplicity 1)
Ru: 0.5000 0.5000 0.5000 (multiplicity 1)
I: 0.0000 0.5000 0.5000 (multiplicity 2)

Computed properties:
The calculation puts the energy above the most stable polymorph in this dataset at 0 kJ/mol of formula units. Its formation energy (no corrections) is 0.4498 eV/atom. The value obtained for the magnetization is 0.00 μB/f.u.

---

A plane-wave DFT calculation with PBE-GGA was carried out for a geometry-optimized ZnSbRuI2 structure.

a = 5.4831 Å, b = 5.4831 Å, c = 5.2601 Å
α = 90.00°, β = 90.00°, γ = 90.00°
Space group P4/mmm (No. 123)
Inequivalent atoms, fractional coordinates:
Zn: 0.0000 0.0000 0.0000 (multiplicity 1)
Sb: 0.0000 0.0000 0.5000 (multiplicity 1)
Ru: 0.5000 0.5000 0.5000 (multiplicity 1)
I: 0.0000 0.5000 0.0000 (multiplicity 2)

Computed properties:
The calculation puts the energy above the most stable polymorph in this dataset at 328 kJ/mol of formula units. Its formation energy (no corrections) is 1.1301 eV/atom. The value obtained for the magnetization is 2.96 μB/f.u.

---

A plane-wave DFT calculation with PBE-GGA was carried out for a geometry-optimized ZrSbRuI2 structure.

a = 5.2404 Å, b = 5.2404 Å, c = 5.1724 Å
α = 90.00°, β = 90.00°, γ = 90.00°
Space group P4/mmm (No. 123)
Inequivalent atoms, fractional coordinates:
Zr: 0.0000 0.0000 0.0000 (multiplicity 1)
Sb: 0.5000 0.5000 0.0000 (multiplicity 1)
Ru: 0.5000 0.5000 0.5000 (multiplicity 1)
I: 0.0000 0.5000 0.5000 (multiplicity 2)

Computed properties:
The calculation puts the energy above the most stable polymorph in this dataset at 0 kJ/mol of formula units. Its formation energy (no corrections) is 0.7222 eV/atom. The value obtained for the magnetization is 0.00 μB/f.u.

---

A plane-wave DFT calculation with PBE-GGA was carried out for a geometry-optimized Sc3RuI structure.

a = 5.0827 Å, b = 5.0827 Å, c = 5.0827 Å
α = 90.00°, β = 90.00°, γ = 90.00°
Space group Pm-3m (No. 221)
Inequivalent atoms, fractional coordinates:
Sc: 0.0000 0.0000 0.5000 (multiplicity 3)
Ru: 0.0000 0.0000 0.0000 (multiplicity 1)
I: 0.5000 0.5000 0.5000 (multiplicity 1)

Computed properties:
The calculation puts the energy above the most stable polymorph in this dataset at 0 kJ/mol of formula units. Its formation energy (no corrections) is -0.1519 eV/atom. The value obtained for the magnetization is 0.00 μB/f.u.

---

A plane-wave DFT calculation with PBE-GGA was carried out for a geometry-optimized Sc2RuI structure.

a = 3.9547 Å, b = 3.9547 Å, c = 24.8206 Å
α = 90.00°, β = 90.00°, γ = 120.00°
Space group R-3m (No. 166, hexagonal axes)
Inequivalent atoms, fractional coordinates:
Sc: 0.0000 0.0000 0.1152 (multiplicity 6)
Ru: 0.0000 0.0000 0.5000 (multiplicity 3)
I: 0.0000 0.0000 0.0000 (multiplicity 3)

Computed properties:
The calculation puts the energy above the most stable polymorph in this dataset at 0 kJ/mol of formula units. Its formation energy (no corrections) is -0.3760 eV/atom. The value obtained for the magnetization is 0.00 μB/f.u.

---

- energy above the most stable polymorph in this dataset of number 3 (SbRuWI2)?
  0 kJ/mol of formula units

---

- Which formula does entry 9 have?
  ZnSbRuI2

---

- What is the energy above the most stable polymorph in this dataset in the first record?
  320 kJ/mol of formula units

---

- Look up the magnetization of the seventh one.
  2.83 μB/f.u.